The following is a DFT calculation (GGA-PBE) of TaNbPd6 after structural relaxation.

Output
The energy relative to the lowest polymorph listed for this composition is 0.000 eV per atom. The formation energy from the elements is -0.3550 eV per atom.

Cell lengths 5.043, 5.044, 5.044 Å; angles 90.00, 90.15, 90.00 degrees
Space group P2/m (No. 10)
Inequivalent atoms, fractional coordinates:
Ta  0.000  0.000  0.000
Nb  0.500  0.500  0.500
Pd  0.001  0.500  0.750
Pd  0.250  0.000  0.501
Pd  0.500  0.250  0.000